Entry 1:
First-principles (PBEsol) data for a geometry-optimized TaCrSi structure, as listed in the Alexandria database.

Lattice parameters (Å, degrees): 3.1279 3.1279 4.7523 109.21 109.21 90.00
With the nearest neighbours (Å) after each atom.
Atoms (fractional coordinates):
Si 0.3462 0.3462 0.6925  4 Cr 2.53, 5 Ta 2.65-2.70
Cr 0.9920 0.9920 0.9840  4 Si 2.53, 5 Ta 2.63-2.78
Ta 0.6618 0.6618 0.3235  5 Cr 2.63-2.78, 5 Si 2.65-2.70

Summary:
For the total DFT energy (no corrections), the calculation gives -9.731 eV/atom. For the total magnetic moment, the calculation gives 0.002 μB per formula unit. Its space group is No. 107.

Entry 2:
First-principles (PBEsol) data for a geometry-optimized Ta2CrSi structure, as listed in the Alexandria database.

Lattice parameters (Å, degrees): 4.3628 4.3628 4.3628 60.00 60.00 60.00
With the nearest neighbours (Å) after each atom.
Atoms (fractional coordinates):
Cr 0.5000 0.5000 0.5000  4 Ta 2.67, 4 Si 2.67
Ta 0.0000 0.0000 0.0000  4 Si 2.67, 4 Ta 2.67
Ta 0.2500 0.2500 0.2500  4 Ta 2.67, 4 Cr 2.67
Si 0.7500 0.7500 0.7500  4 Cr 2.67, 4 Ta 2.67

Summary:
For the total DFT energy (no corrections), the calculation gives -10.249 eV/atom. For the total magnetic moment, the calculation gives 0.001 μB per formula unit. Its space group is No. 216.

Entry 3:
First-principles (PBEsol) data for a geometry-optimized Ta2CrSi structure, as listed in the Alexandria database.

Lattice parameters (Å, degrees): 3.1794 4.2677 5.1039 114.73 108.15 90.00
With the nearest neighbours (Å) after each atom.
Atoms (fractional coordinates):
Si 0.2286 0.7286 0.4573  2 Cr 2.56, 4 Ta 2.68
Ta 0.7673 0.2673 0.5346  2 Cr 2.57, 4 Si 2.68, 2 Ta 2.78
Ta 0.0053 0.0054 0.0107  4 Cr 2.66, 4 Ta 2.78-2.98, 4 Si 2.89
Cr 0.4988 0.4987 0.9974  2 Si 2.56, 6 Ta 2.57-2.66

Summary:
For the total DFT energy (no corrections), the calculation gives -10.459 eV/atom. For the total magnetic moment, the calculation gives 0.001 μB per formula unit. Its space group is No. 44.

Entry 4:
First-principles (PBEsol) data for a geometry-optimized Cr2SiTc structure, as listed in the Alexandria database.

Lattice parameters (Å, degrees): 2.9431 3.9190 4.8072 114.06 107.83 90.00
With the nearest neighbours (Å) after each atom.
Atoms (fractional coordinates):
Cr 0.7489 0.7489 0.4978  4 Cr 2.45, 2 Tc 2.53, 2 Si 2.55
Cr 0.2511 0.2511 0.5022  4 Cr 2.45, 2 Tc 2.53, 2 Si 2.55
Si 0.5000 0.0000 0.0000  4 Tc 2.45, 4 Cr 2.55
Tc 0.0000 0.5000 0.0000  4 Si 2.45, 4 Cr 2.53

Summary:
For the total DFT energy (no corrections), the calculation gives -9.674 eV/atom. For the total magnetic moment, the calculation gives 0.000 μB per formula unit. Its space group is No. 71.

Entry 5:
First-principles (PBEsol) data for a geometry-optimized Cr2SiTc structure, as listed in the Alexandria database.

Lattice parameters (Å, degrees): 2.6333 3.9311 4.8320 90.00 105.36 90.00
With the nearest neighbours (Å) after each atom.
Atoms (fractional coordinates):
Cr 0.9560 0.0000 0.0069  4 Cr 2.39-2.63, 2 Si 2.42-2.45, 2 Tc 2.52
Cr 0.7981 0.5000 0.2539  2 Tc 2.36-2.51, 4 Cr 2.39-2.63, 2 Si 2.48
Tc 0.2220 0.5000 0.7486  4 Cr 2.36-2.52, 2 Si 2.56, 2 Tc 2.63
Si 0.5239 0.0000 0.4906  4 Cr 2.42-2.48, 2 Tc 2.56, 2 Si 2.63

Summary:
For the total DFT energy (no corrections), the calculation gives -9.505 eV/atom. For the total magnetic moment, the calculation gives 0.001 μB per formula unit. Its space group is No. 6.

Entry 6:
First-principles (PBEsol) data for a geometry-optimized CrSiTc2 structure, as listed in the Alexandria database.

Lattice parameters (Å, degrees): 2.9606 3.9274 4.4128 90.00 90.00 90.00
With the nearest neighbours (Å) after each atom.
Atoms (fractional coordinates):
Tc 0.5000 0.0000 0.5000  4 Si 2.46, 4 Tc 2.66
Tc 0.0000 0.0000 0.0000  4 Cr 2.46, 4 Tc 2.66
Cr 0.5000 0.5000 0.0000  4 Tc 2.46, 4 Si 2.66
Si 0.0000 0.5000 0.5000  4 Tc 2.46, 4 Cr 2.66

Summary:
For the total DFT energy (no corrections), the calculation gives -9.770 eV/atom. For the total magnetic moment, the calculation gives 0.001 μB per formula unit. Its space group is No. 47.

Entry 7:
First-principles (PBEsol) data for a geometry-optimized CrSiTc4 structure, as listed in the Alexandria database.

Lattice parameters (Å, degrees): 4.9757 4.9757 4.9757 60.00 60.00 60.00
With the nearest neighbours (Å) after each atom.
Atoms (fractional coordinates):
Tc 0.3745 0.8765 0.3745  6 Tc 2.48-2.50
Tc 0.3745 0.3745 0.3745  6 Tc 2.48-2.50
Tc 0.3745 0.3745 0.8765  6 Tc 2.48-2.50
Tc 0.8765 0.3745 0.3745  6 Tc 2.48-2.50
Si 0.0000 0.0000 0.0000  12 Tc 2.92, 4 Cr 3.05
Cr 0.7500 0.7500 0.7500  12 Tc 2.92, 4 Si 3.05

Summary:
For the total DFT energy (no corrections), the calculation gives -9.698 eV/atom. For the total magnetic moment, the calculation gives 1.407 μB per formula unit. Its space group is No. 216.

Entry 8:
First-principles (PBEsol) data for a geometry-optimized CrSiTc structure, as listed in the Alexandria database.

Lattice parameters (Å, degrees): 3.9205 3.9205 3.9205 60.00 60.00 60.00
With the nearest neighbours (Å) after each atom.
Atoms (fractional coordinates):
Si 0.0000 0.0000 0.0000  4 Cr 2.40
Tc 0.5000 0.5000 0.5000  4 Cr 2.40
Cr 0.2500 0.2500 0.2500  4 Tc 2.40, 4 Si 2.40

Summary:
For the total DFT energy (no corrections), the calculation gives -9.072 eV/atom. For the total magnetic moment, the calculation gives 0.199 μB per formula unit. Its space group is No. 216. Its energy above the most stable polymorph in this dataset is 0.0 kJ/mol of formula units.

Entry 9:
First-principles (PBEsol) data for a geometry-optimized CrSiTc2 structure, as listed in the Alexandria database.

Lattice parameters (Å, degrees): 2.6944 4.7662 4.7662 113.44 102.55 102.55
With the nearest neighbours (Å) after each atom.
Atoms (fractional coordinates):
Si 0.5000 0.0000 0.0000  4 Tc 2.47, 2 Cr 2.62, 2 Si 2.69
Tc 0.0000 0.0000 0.5000  2 Cr 2.47, 2 Si 2.47, 4 Tc 2.62-2.69
Tc 0.0000 0.5000 0.0000  2 Si 2.47, 2 Cr 2.47, 4 Tc 2.62-2.69
Cr 0.5000 0.5000 0.5000  4 Tc 2.47, 2 Si 2.62, 2 Cr 2.69

Summary:
For the total DFT energy (no corrections), the calculation gives -9.692 eV/atom. For the total magnetic moment, the calculation gives 0.003 μB per formula unit. Its space group is No. 12.

Entry 10:
First-principles (PBEsol) data for a geometry-optimized CrSiTc2 structure, as listed in the Alexandria database.

Lattice parameters (Å, degrees): 2.9781 4.0130 4.9015 114.17 107.69 90.00
With the nearest neighbours (Å) after each atom.
Atoms (fractional coordinates):
Tc 0.7541 0.7541 0.5083  4 Si 2.50, 2 Cr 2.59, 2 Tc 2.65
Tc 0.9949 0.4949 0.9899  4 Cr 2.50, 2 Si 2.58, 2 Tc 2.65
Si 0.2448 0.2448 0.4897  6 Tc 2.50-2.58, 2 Cr 2.50
Cr 0.5061 0.0061 0.0122  6 Tc 2.50-2.59, 2 Si 2.50

Summary:
For the total DFT energy (no corrections), the calculation gives -9.956 eV/atom. For the total magnetic moment, the calculation gives 0.000 μB per formula unit. Its space group is No. 44.

Entry 11:
First-principles (PBEsol) data for a geometry-optimized CrSiTc2 structure, as listed in the Alexandria database.

Lattice parameters (Å, degrees): 2.9239 2.9239 5.9035 90.00 90.00 90.00
With the nearest neighbours (Å) after each atom.
Atoms (fractional coordinates):
Tc 0.0000 0.0000 0.7473  4 Si 2.53, 4 Cr 2.55
Tc 0.0000 0.0000 0.2527  4 Si 2.53, 4 Cr 2.55
Si 0.5000 0.5000 0.5000  8 Tc 2.53
Cr 0.5000 0.5000 0.0000  8 Tc 2.55

Summary:
For the total DFT energy (no corrections), the calculation gives -9.905 eV/atom. For the total magnetic moment, the calculation gives 0.370 μB per formula unit. Its space group is No. 123.

Entry 12:
First-principles (PBEsol) data for a geometry-optimized Cr2SiTc structure, as listed in the Alexandria database.

Lattice parameters (Å, degrees): 2.6603 3.7982 4.8320 90.00 90.00 90.00
With the nearest neighbours (Å) after each atom.
Atoms (fractional coordinates):
Tc 0.5000 0.5000 0.5000  2 Si 2.42, 2 Tc 2.66, 8 Cr 2.66
Cr 0.0000 0.0000 0.2292  1 Cr 2.21
Cr 0.0000 0.0000 0.7708  1 Cr 2.21
Si 0.5000 0.5000 0.0000  2 Tc 2.42, 8 Cr 2.57, 2 Si 2.66

Summary:
For the total DFT energy (no corrections), the calculation gives -9.500 eV/atom. For the total magnetic moment, the calculation gives 0.000 μB per formula unit. Its space group is No. 47.

Entry 13:
First-principles (PBEsol) data for a geometry-optimized Cr2SiTe structure, as listed in the Alexandria database.

Lattice parameters (Å, degrees): 3.0621 3.0621 6.0076 90.00 90.00 90.00
With the nearest neighbours (Å) after each atom.
Atoms (fractional coordinates):
Si 0.5000 0.5000 0.0000  8 Cr 2.50
Cr 0.0000 0.0000 0.7931  1 Cr 2.49, 4 Si 2.50
Cr 0.0000 0.0000 0.2069  1 Cr 2.49, 4 Si 2.50
Te 0.5000 0.5000 0.5000  8 Cr 2.79, 2 Si 3.00, 4 Te 3.06

Summary:
For the total DFT energy (no corrections), the calculation gives -7.203 eV/atom. For the total magnetic moment, the calculation gives 0.001 μB per formula unit. Its space group is No. 123. Its energy above the most stable polymorph in this dataset is 14.6 kJ/mol of formula units.

no.,volume (Å³ per cell),E_form (uncorrected) (kJ/mol of formula units)
1,41.15,-63
2,58.72,9
3,59.09,-72
4,47.70,-116
5,48.23,-50
6,51.31,-54
7,87.10,276
8,42.61,4
9,51.57,-24
10,50.40,-126
11,50.47,-106
12,48.82,-48
13,56.33,91